1.
Below is SnTe5Pd3 after structural relaxation, with properties calculated at the PBE-GGA level.

Values from the calculation:
E_form (uncorrected) (meV/atom): -200.6
Uncorrected energy (eV per atom): -4.12
Volume (A^3/atom): 27.15

a = 6.953 Å, b = 6.953 Å, c = 10.939 Å
α = 104.96°, β = 104.96°, γ = 78.57°
Positions (direct):
Sn 0.072 0.072 0.266
Sn 0.928 0.928 0.734
Te 0.059 0.671 0.316
Te 0.269 0.269 0.061
Te 0.305 0.695 0.000
Te 0.329 0.941 0.684
Te 0.397 0.397 0.602
Te 0.603 0.603 0.398
Te 0.671 0.059 0.316
Te 0.695 0.305 0.000
Te 0.731 0.731 0.939
Te 0.941 0.329 0.684
Pd 0.000 0.000 0.000
Pd 0.000 0.000 0.500
Pd 0.326 0.326 0.825
Pd 0.336 0.336 0.337
Pd 0.664 0.664 0.663
Pd 0.674 0.674 0.175

2.
Below is PmTiP after structural relaxation, with properties calculated at the PBE-GGA level.

Values from the calculation:
Energy above the most stable polymorph in this dataset (eV/atom): 0.000
Uncorrected energy (eV per atom): -7.08
Volume (A^3/atom): 20.04

a = 3.940 Å, b = 3.940 Å, c = 7.746 Å
α = 90.00°, β = 90.00°, γ = 90.00°
Positions (direct):
Pm 0.250 0.250 0.149
Pm 0.750 0.750 0.851
Ti 0.250 0.750 0.500
Ti 0.750 0.250 0.500
P 0.250 0.250 0.723
P 0.750 0.750 0.277

3.
Below is ErTh8Bi6 after structural relaxation, with properties calculated at the PBE-GGA level.

Values from the calculation:
Uncorrected energy (eV per atom): -6.02
Volume (A^3/atom): 34.05

a = 8.687 Å, b = 8.687 Å, c = 8.687 Å
α = 64.65°, β = 64.65°, γ = 64.65°
Positions (direct):
Er 0.000 0.000 0.000
Th 0.100 0.763 0.467
Th 0.237 0.533 0.900
Th 0.334 0.334 0.334
Th 0.467 0.100 0.763
Th 0.533 0.900 0.237
Th 0.666 0.666 0.666
Th 0.763 0.467 0.100
Th 0.900 0.237 0.533
Bi 0.068 0.374 0.741
Bi 0.259 0.932 0.626
Bi 0.374 0.741 0.068
Bi 0.626 0.259 0.932
Bi 0.741 0.068 0.374
Bi 0.932 0.626 0.259

4.
Below is Tm4AlIn3 after structural relaxation, with properties calculated at the PBE-GGA level.

Values from the calculation:
Energy above the most stable polymorph in this dataset (eV/atom): 0.000
Uncorrected energy (eV per atom): -4.14
Volume (A^3/atom): 24.80

a = 3.466 Å, b = 3.466 Å, c = 16.517 Å
α = 90.00°, β = 90.00°, γ = 90.00°
Positions (direct):
Tm 0.000 0.000 0.115
Tm 0.000 0.000 0.372
Tm 0.000 0.000 0.628
Tm 0.000 0.000 0.885
Al 0.500 0.500 0.000
In 0.500 0.500 0.245
In 0.500 0.500 0.500
In 0.500 0.500 0.755

5.
Below is CsTiN2O after structural relaxation, with properties calculated at the PBE-GGA level.

Values from the calculation:
E_form (uncorrected) (meV/atom): 2149.2
Uncorrected energy (eV per atom): -3.92
Volume (A^3/atom): 16.42

a = 4.364 Å, b = 4.364 Å, c = 4.311 Å
α = 90.00°, β = 90.00°, γ = 90.00°
Positions (direct):
Cs 0.000 0.000 0.000
Ti 0.500 0.500 0.500
N 0.000 0.500 0.000
N 0.500 0.000 0.000
O 0.000 0.000 0.500

6.
Below is Cr4OsRu after structural relaxation, with properties calculated at the PBE-GGA level.

Values from the calculation:
Uncorrected energy (eV per atom): -9.83
Volume (A^3/atom): 12.37

a = 4.718 Å, b = 4.718 Å, c = 4.718 Å
α = 60.00°, β = 60.00°, γ = 60.00°
Positions (direct):
Cr 0.125 0.125 0.125
Cr 0.125 0.125 0.626
Cr 0.125 0.626 0.125
Cr 0.626 0.125 0.125
Os 0.750 0.750 0.750
Ru 0.500 0.500 0.500